1.
Compound: RbZrRhS3
Source: Alexandria via LeMat-Bulk
Functional: GGA-PBE
Structure: optimized geometry

Structure (CIF):
```
data_RbZrRhS3
_symmetry_space_group_name_H-M 'P 1 21/m 1'
_symmetry_Int_Tables_number 11
_cell_length_a 8.801
_cell_length_b 3.772
_cell_length_c 9.506
_cell_angle_alpha 90.00
_cell_angle_beta 112.33
_cell_angle_gamma 90.00
loop_
_symmetry_equiv_pos_as_xyz
'x,y,z'
'-x,-y,-z'
'-x,y+1/2,-z'
'x,-y+1/2,z'
loop_
_atom_site_label
_atom_site_type_symbol
_atom_site_fract_x
_atom_site_fract_y
_atom_site_fract_z
Rb1 Rb 0.220 0.250 0.246
Zr1 Zr 0.316 0.750 0.840
Rh1 Rh 0.093 0.250 0.596
S1 S 0.126 0.250 0.862
S2 S 0.220 0.750 0.549
S3 S 0.468 0.750 0.143
```

Properties
**Raw total energy**: -6.06 eV per atom
**Formation energy (no corrections)**: -1188.8 meV per atom

---

2.
Compound: RbSb12Rh4
Source: Alexandria via LeMat-Bulk
Functional: GGA-PBE
Structure: optimized geometry

Structure (CIF):
```
data_RbSb12Rh4
_symmetry_space_group_name_H-M 'I m -3'
_symmetry_Int_Tables_number 204
_symmetry_space_group_name_Hall '-I 2 2 3'
_cell_length_a 9.456
_cell_length_b 9.456
_cell_length_c 9.456
_cell_angle_alpha 90.00
_cell_angle_beta 90.00
_cell_angle_gamma 90.00
loop_
_atom_site_label
_atom_site_type_symbol
_atom_site_fract_x
_atom_site_fract_y
_atom_site_fract_z
Rb1 Rb 0.000 0.000 0.000
Sb1 Sb 0.000 0.344 0.157
Rh1 Rh 0.250 0.250 0.250
```

Properties
**Raw total energy**: -5.12 eV per atom
**Formation energy (no corrections)**: -419.1 meV per atom

---

3.
Compound: RbSbRh
Source: Alexandria via LeMat-Bulk
Functional: GGA-PBE
Structure: optimized geometry

Structure (CIF):
```
data_RbSbRh
_symmetry_space_group_name_H-M 'P 4/n m m'
_symmetry_Int_Tables_number 129
_cell_length_a 4.659
_cell_length_b 4.659
_cell_length_c 8.266
_cell_angle_alpha 90.00
_cell_angle_beta 90.00
_cell_angle_gamma 90.00
loop_
_symmetry_equiv_pos_as_xyz
'x,y,z'
'-x,-y,-z'
'-y+1/2,x,z'
'y+1/2,-x,-z'
'-x+1/2,-y+1/2,z'
'x+1/2,y+1/2,-z'
'y,-x+1/2,z'
'-y,x+1/2,-z'
'x+1/2,-y,-z'
'-x+1/2,y,z'
'-y,-x,-z'
'y,x,z'
'-x,y+1/2,-z'
'x,-y+1/2,z'
'y+1/2,x+1/2,-z'
'-y+1/2,-x+1/2,z'
loop_
_atom_site_label
_atom_site_type_symbol
_atom_site_fract_x
_atom_site_fract_y
_atom_site_fract_z
Rb1 Rb 0.250 0.250 0.160
Sb1 Sb 0.250 0.250 0.652
Rh1 Rh 0.250 0.750 0.500
```

Properties
**Energy relative to the lowest polymorph listed for this composition**: 0.039 eV per atom
**Raw total energy**: -4.52 eV per atom
**Formation energy (no corrections)**: -373.6 meV per atom

---

4.
Compound: Rb3SbRh
Source: Alexandria via LeMat-Bulk
Functional: GGA-PBE
Structure: optimized geometry

Structure (CIF):
```
data_Rb3SbRh
_symmetry_space_group_name_H-M 'P m -3 m'
_symmetry_Int_Tables_number 221
_symmetry_space_group_name_Hall '-P 4 2 3'
_cell_length_a 5.920
_cell_length_b 5.920
_cell_length_c 5.920
_cell_angle_alpha 90.00
_cell_angle_beta 90.00
_cell_angle_gamma 90.00
loop_
_atom_site_label
_atom_site_type_symbol
_atom_site_fract_x
_atom_site_fract_y
_atom_site_fract_z
Rb1 Rb 0.000 0.000 0.500
Sb1 Sb 0.500 0.500 0.500
Rh1 Rh 0.000 0.000 0.000
```

Properties
**Energy relative to the lowest polymorph listed for this composition**: 0.000 eV per atom
**Raw total energy**: -2.34 eV per atom
**Formation energy (no corrections)**: 537.6 meV per atom

---

5.
Compound: Rb2Sb2Rh
Source: Alexandria via LeMat-Bulk
Functional: GGA-PBE
Structure: optimized geometry

Structure (CIF):
```
data_Rb2Sb2Rh
_symmetry_space_group_name_H-M 'P 4/m b m'
_symmetry_Int_Tables_number 127
_symmetry_space_group_name_Hall '-P 4 2ab'
_cell_length_a 7.007
_cell_length_b 7.007
_cell_length_c 6.177
_cell_angle_alpha 90.00
_cell_angle_beta 90.00
_cell_angle_gamma 90.00
loop_
_atom_site_label
_atom_site_type_symbol
_atom_site_fract_x
_atom_site_fract_y
_atom_site_fract_z
Rb1 Rb 0.176 0.324 0.000
Sb1 Sb 0.148 0.648 0.500
Rh1 Rh 0.000 0.000 0.500
```

Properties
**Raw total energy**: -3.79 eV per atom
**Formation energy (no corrections)**: -287.9 meV per atom

---

6.
Compound: RbSbRh
Source: Alexandria via LeMat-Bulk
Functional: GGA-PBE
Structure: optimized geometry

Structure (CIF):
```
data_RbSbRh
_symmetry_space_group_name_H-M 'P 4/n m m'
_symmetry_Int_Tables_number 129
_cell_length_a 4.263
_cell_length_b 4.263
_cell_length_c 11.427
_cell_angle_alpha 90.00
_cell_angle_beta 90.00
_cell_angle_gamma 90.00
loop_
_symmetry_equiv_pos_as_xyz
'x,y,z'
'-x,-y,-z'
'-y+1/2,x,z'
'y+1/2,-x,-z'
'-x+1/2,-y+1/2,z'
'x+1/2,y+1/2,-z'
'y,-x+1/2,z'
'-y,x+1/2,-z'
'x+1/2,-y,-z'
'-x+1/2,y,z'
'-y,-x,-z'
'y,x,z'
'-x,y+1/2,-z'
'x,-y+1/2,z'
'y+1/2,x+1/2,-z'
'-y+1/2,-x+1/2,z'
loop_
_atom_site_label
_atom_site_type_symbol
_atom_site_fract_x
_atom_site_fract_y
_atom_site_fract_z
Rb1 Rb 0.250 0.250 0.189
Sb1 Sb 0.250 0.250 0.633
Rh1 Rh 0.250 0.750 0.500
```

Properties
**Energy relative to the lowest polymorph listed for this composition**: 0.000 eV per atom
**Raw total energy**: -4.56 eV per atom
**Formation energy (no corrections)**: -412.5 meV per atom

---

7.
Compound: RbSb2TeRh
Source: Alexandria via LeMat-Bulk
Functional: GGA-PBE
Structure: optimized geometry

Structure (CIF):
```
data_RbSb2TeRh
_symmetry_space_group_name_H-M 'P 4/m m m'
_symmetry_Int_Tables_number 123
_symmetry_space_group_name_Hall '-P 4 2'
_cell_length_a 5.127
_cell_length_b 5.127
_cell_length_c 6.022
_cell_angle_alpha 90.00
_cell_angle_beta 90.00
_cell_angle_gamma 90.00
loop_
_atom_site_label
_atom_site_type_symbol
_atom_site_fract_x
_atom_site_fract_y
_atom_site_fract_z
Rb1 Rb 0.000 0.000 0.000
Sb1 Sb 0.000 0.500 0.500
Te1 Te 0.500 0.500 0.000
Rh1 Rh 0.500 0.500 0.500
```

Properties
**Energy relative to the lowest polymorph listed for this composition**: 0.000 eV per atom
**Raw total energy**: -4.04 eV per atom
**Formation energy (no corrections)**: -94.1 meV per atom

---

8.
Compound: RbSb2TeRh
Source: Alexandria via LeMat-Bulk
Functional: GGA-PBE
Structure: optimized geometry

Structure (CIF):
```
data_RbSb2TeRh
_symmetry_space_group_name_H-M 'P 4/m m m'
_symmetry_Int_Tables_number 123
_symmetry_space_group_name_Hall '-P 4 2'
_cell_length_a 5.919
_cell_length_b 5.919
_cell_length_c 6.052
_cell_angle_alpha 90.00
_cell_angle_beta 90.00
_cell_angle_gamma 90.00
loop_
_atom_site_label
_atom_site_type_symbol
_atom_site_fract_x
_atom_site_fract_y
_atom_site_fract_z
Rb1 Rb 0.000 0.000 0.000
Sb1 Sb 0.000 0.500 0.000
Te1 Te 0.000 0.000 0.500
Rh1 Rh 0.500 0.500 0.500
```

Properties
**Energy relative to the lowest polymorph listed for this composition**: 1.996 eV per atom
**Raw total energy**: -2.04 eV per atom
**Formation energy (no corrections)**: 1901.9 meV per atom

---

9.
Compound: Rb2TiSbRh
Source: Alexandria via LeMat-Bulk
Functional: GGA-PBE
Structure: optimized geometry

Structure (CIF):
```
data_Rb2TiSbRh
_symmetry_space_group_name_H-M 'P 4/m m m'
_symmetry_Int_Tables_number 123
_symmetry_space_group_name_Hall '-P 4 2'
_cell_length_a 6.395
_cell_length_b 6.395
_cell_length_c 4.997
_cell_angle_alpha 90.00
_cell_angle_beta 90.00
_cell_angle_gamma 90.00
loop_
_atom_site_label
_atom_site_type_symbol
_atom_site_fract_x
_atom_site_fract_y
_atom_site_fract_z
Rb1 Rb 0.000 0.500 0.000
Ti1 Ti 0.000 0.000 0.500
Sb1 Sb 0.500 0.500 0.500
Rh1 Rh 0.500 0.500 0.000
```

Properties
**Raw total energy**: -3.34 eV per atom
**Formation energy (no corrections)**: 921.3 meV per atom

---

10.
Compound: RbTl2SbRh
Source: Alexandria via LeMat-Bulk
Functional: GGA-PBE
Structure: optimized geometry

Structure (CIF):
```
data_RbTl2SbRh
_symmetry_space_group_name_H-M 'P 4/m m m'
_symmetry_Int_Tables_number 123
_symmetry_space_group_name_Hall '-P 4 2'
_cell_length_a 5.411
_cell_length_b 5.411
_cell_length_c 5.363
_cell_angle_alpha 90.00
_cell_angle_beta 90.00
_cell_angle_gamma 90.00
loop_
_atom_site_label
_atom_site_type_symbol
_atom_site_fract_x
_atom_site_fract_y
_atom_site_fract_z
Rb1 Rb 0.000 0.000 0.000
Tl1 Tl 0.000 0.500 0.500
Sb1 Sb 0.500 0.500 0.000
Rh1 Rh 0.500 0.500 0.500
```

Properties
**Raw total energy**: -3.51 eV per atom
**Formation energy (no corrections)**: -71.2 meV per atom

---

11.
Compound: RbSc2Rh
Source: Alexandria via LeMat-Bulk
Functional: GGA-PBE
Structure: optimized geometry

Structure (CIF):
```
data_RbSc2Rh
_symmetry_space_group_name_H-M 'R -3 m'
_symmetry_Int_Tables_number 166
_symmetry_space_group_name_Hall '-R 3 2"'
_cell_length_a 3.2946
_cell_length_b 3.2946
_cell_length_c 34.5998
_cell_angle_alpha 90.00
_cell_angle_beta 90.00
_cell_angle_gamma 120.00
loop_
_atom_site_label
_atom_site_type_symbol
_atom_site_fract_x
_atom_site_fract_y
_atom_site_fract_z
Rb1 Rb 0.0000 0.0000 0.0000
Sc1 Sc 0.0000 0.0000 0.4325
Rh1 Rh 0.0000 0.0000 0.5000
```

Properties
**DFT formation energy**: 491 meV/atom
**Energy relative to the lowest polymorph listed for this composition**: 0.616 eV per atom
**Raw total energy**: -4.75 eV per atom

---

12.
Compound: RbScRh3
Source: Alexandria via LeMat-Bulk
Functional: GGA-PBE
Structure: optimized geometry

Structure (CIF):
```
data_RbScRh3
_symmetry_space_group_name_H-M 'P m -3 m'
_symmetry_Int_Tables_number 221
_symmetry_space_group_name_Hall '-P 4 2 3'
_cell_length_a 4.796
_cell_length_b 4.796
_cell_length_c 4.796
_cell_angle_alpha 90.00
_cell_angle_beta 90.00
_cell_angle_gamma 90.00
loop_
_atom_site_label
_atom_site_type_symbol
_atom_site_fract_x
_atom_site_fract_y
_atom_site_fract_z
Rb1 Rb 0.000 0.000 0.000
Sc1 Sc 0.500 0.500 0.500
Rh1 Rh 0.000 0.000 0.500
```

Properties
**DFT formation energy**: 1713 meV/atom
**Energy relative to the lowest polymorph listed for this composition**: 0.998 eV per atom
**Raw total energy**: -4.16 eV per atom

---

13.
Compound: RbScRh3
Source: Alexandria via LeMat-Bulk
Functional: GGA-PBE
Structure: optimized geometry

Structure (CIF):
```
data_RbScRh3
_symmetry_space_group_name_H-M 'P m -3 m'
_symmetry_Int_Tables_number 221
_symmetry_space_group_name_Hall '-P 4 2 3'
_cell_length_a 4.898
_cell_length_b 4.898
_cell_length_c 4.898
_cell_angle_alpha 90.00
_cell_angle_beta 90.00
_cell_angle_gamma 90.00
loop_
_atom_site_label
_atom_site_type_symbol
_atom_site_fract_x
_atom_site_fract_y
_atom_site_fract_z
Rb1 Rb 0.000 0.000 0.000
Sc1 Sc 0.500 0.500 0.500
Rh1 Rh 0.000 0.500 0.500
```

Properties
**DFT formation energy**: 714 meV/atom
**Energy relative to the lowest polymorph listed for this composition**: 0.000 eV per atom
**Raw total energy**: -5.16 eV per atom